{
  "formula": "ZnIr2Ru2",
  "functional": "PBE",
  "state": "optimized geometry",
  "lattice": [[7.493, 0.000, 0.000], [0.000, 7.493, 0.000], [0.000, 0.000, 2.757]],
  "species": ["Ir", "Ru", "Zn", "Ru", "Ir", "Zn", "Ru", "Ir", "Ru", "Ir"],
  "frac_coords": [[0.376, 0.876, 0.000], [0.327, 0.173, 0.500], [0.500, 0.500, 0.000], [0.173, 0.673, 0.500], [0.876, 0.624, 0.000], [0.000, 0.000, 0.000], [0.673, 0.827, 0.500], [0.124, 0.376, 0.000], [0.827, 0.327, 0.500], [0.624, 0.124, 0.000]],
  "sg": "P4/mbm (127)",
  "de_polymorph_ev_per_fu": 0.00,
  "delta_e_f_kcal_per_mol_atoms": 5.6
}

=====

{
  "formula": "Zn2IrRu2",
  "functional": "PBE",
  "state": "optimized geometry",
  "lattice": [[6.963, 0.000, 0.000], [0.000, 6.963, 0.000], [0.000, 0.000, 3.030]],
  "species": ["Ru", "Zn", "Ir", "Ru", "Ir", "Zn", "Ru", "Zn", "Zn", "Ru"],
  "frac_coords": [[0.876, 0.624, 0.000], [0.175, 0.675, 0.500], [0.000, 0.000, 0.000], [0.124, 0.376, 0.000], [0.500, 0.500, 0.000], [0.325, 0.175, 0.500], [0.376, 0.876, 0.000], [0.825, 0.325, 0.500], [0.675, 0.825, 0.500], [0.624, 0.124, 0.000]],
  "sg": "P4/mbm (127)",
  "de_polymorph_ev_per_fu": 0.00,
  "delta_e_f_kcal_per_mol_atoms": 8.5
}

=====

Total magnetization / μB/atom: 0.000; 0.000